Entry from the Alexandria database: a relaxed structure of Li3CdGe (PBE).

a = 4.4539 Å, b = 5.5942 Å, c = 7.3831 Å
α = 71.69°, β = 72.51°, γ = 90.00°
Space group P-1 (No. 2)
Unique sites:
Li 0.0000 0.0000 0.0000
Li 0.0000 0.5000 0.0000
Li 0.1980 0.2984 0.6016
Li 0.4069 0.1285 0.1858
Cd 0.2027 0.7880 0.5953
Ge 0.3972 0.6217 0.2095

Computed properties:
- V (Å³/f.u.) = 82.8
- DOS at the Fermi energy (states/eV per cell) = 3.15


Entry from the Alexandria database: a relaxed structure of Rb2CdGaI5 (PBE).

a = 4.7656 Å, b = 20.5769 Å, c = 16.7237 Å
α = 90.00°, β = 90.00°, γ = 90.00°
Space group Cmc2_1 (No. 36)
Unique sites:
Rb 0.0000 0.0840 0.0000
Rb 0.0000 0.1409 0.6450
Cd 0.0000 0.2261 0.3796
Ga 0.0000 0.4521 0.7994
I 0.0000 0.0869 0.4192
I 0.0000 0.2589 0.0052
I 0.0000 0.3037 0.7592
I 0.0000 0.3625 0.3362
I 0.0000 0.4964 0.1206

Computed properties:
- V (Å³/f.u.) = 410.0
- uncorrected formation energy (eV per atom) = -0.894


Entry from the Alexandria database: a relaxed structure of SrHo3Ni (PBE).

a = 5.4058 Å, b = 5.4058 Å, c = 5.4058 Å
α = 90.00°, β = 90.00°, γ = 90.00°
Space group Pm-3m (No. 221)
Unique sites:
Sr 0.0000 0.0000 0.0000
Ho 0.0000 0.5000 0.5000
Ni 0.5000 0.5000 0.5000

Computed properties:
- V (Å³/f.u.) = 158.0
- DOS at the Fermi energy (states/eV per cell) = 8.42


Entry from the Alexandria database: a relaxed structure of Pr2Ho5Tm6 (PBE).

a = 11.6269 Å, b = 20.0799 Å, c = 3.5526 Å
α = 90.00°, β = 90.00°, γ = 90.00°
Space group Pbam (No. 55)
Unique sites:
Pr 0.1660 0.2171 0.0000
Ho 0.0000 0.5000 0.5000
Ho 0.0945 0.7790 0.5000
Ho 0.2001 0.0509 0.5000
Tm 0.0595 0.9228 0.0000
Tm 0.0782 0.6350 0.0000
Tm 0.1799 0.3753 0.5000

Computed properties:
- V (Å³/f.u.) = 414.7
- DOS at the Fermi energy (states/eV per cell) = 34.86


Entry from the Alexandria database: a relaxed structure of YCu2Os (PBE).

a = 4.2601 Å, b = 4.2601 Å, c = 13.4444 Å
α = 90.00°, β = 90.00°, γ = 120.00°
Space group R-3m (No. 166, hexagonal axes)
Unique sites:
Y 0.0000 0.0000 0.0000
Cu 0.0000 0.0000 0.2060
Os 0.0000 0.0000 0.5000

Computed properties:
- V (Å³/f.u.) = 70.4
- DOS at the Fermi energy (states/eV per cell) = 12.03


Entry from the Alexandria database: a relaxed structure of Na3Tl2In2 (PBE).

a = 5.2310 Å, b = 3.3843 Å, c = 11.8640 Å
α = 90.00°, β = 102.63°, γ = 90.00°
Space group P2/m (No. 10)
Unique sites:
Na 0.0000 0.0000 0.0000
Na 0.2880 0.0000 0.5770
Tl 0.4223 0.5000 0.8468
In 0.1399 0.0000 0.2780

Computed properties:
- V (Å³/f.u.) = 204.9
- DOS at the Fermi energy (states/eV per cell) = 1.86


Entry from the Alexandria database: a relaxed structure of Sn6Au5 (PBE).

a = 6.5319 Å, b = 11.6096 Å, c = 7.7423 Å
α = 90.00°, β = 105.94°, γ = 90.00°
Space group C2/m (No. 12)
Unique sites:
Sn 0.2013 0.0000 0.2177
Sn 0.2111 0.1873 0.7154
Au 0.0000 0.0000 0.5000
Au 0.0000 0.1881 0.0000
Au 0.0000 0.3726 0.5000

Computed properties:
- V (Å³/f.u.) = 282.3
- DOS at the Fermi energy (states/eV per cell) = 10.10


Entry from the Alexandria database: a relaxed structure of BeAl2Ir (PBE).

a = 9.2524 Å, b = 9.2524 Å, c = 4.3363 Å
α = 90.00°, β = 90.00°, γ = 90.00°
Space group I4_1/amd (No. 141, origin choice 2)
Unique sites:
Be 0.0000 0.2500 0.3750
Al 0.0000 0.0000 0.0000
Ir 0.0000 0.2500 0.8750

Computed properties:
- V (Å³/f.u.) = 92.8
- DOS at the Fermi energy (states/eV per cell) = 8.99


no.,DFT total energy (Ry/atom)
1,-0.185
2,-0.177
3,-0.315
4,-0.327
5,-0.468
6,-0.151
7,-0.278
8,-0.372